HoTmGaPt: relaxed, GGA-PBE.

Calculated values
- ΔE to the lowest computed polymorph: 0.064 eV/atom
- ΔE_f: -86.3 kJ/mol of atoms

Unit cell a=4.960 b=4.960 c=4.960 alpha=60.00 beta=60.00 gamma=60.00
Element x y z (fractional)
Ho 0.250 0.250 0.250
Ga 0.500 0.500 0.500
Tm 0.750 0.750 0.750
Pt 0.000 0.000 0.000



HoTmGaPt: relaxed, GGA-PBE.

Calculated values
- ΔE to the lowest computed polymorph: 0.000 eV/atom
- ΔE_f: -92.5 kJ/mol of atoms

Unit cell a=3.727 b=4.429 c=5.714 alpha=90.00 beta=109.03 gamma=90.00
Element x y z (fractional)
Pt 0.578 0.500 0.155
Tm 0.858 0.500 0.716
Ga 0.422 0.000 0.843
Ho 0.143 0.000 0.286



YHoGaPt: relaxed, GGA-PBE.

Calculated values
- ΔE to the lowest computed polymorph: 0.078 eV/atom
- ΔE_f: -84.4 kJ/mol of atoms

Unit cell a=5.000 b=5.000 c=5.000 alpha=60.00 beta=60.00 gamma=60.00
Element x y z (fractional)
Ho 0.000 0.000 0.000
Pt 0.750 0.750 0.750
Ga 0.250 0.250 0.250
Y 0.500 0.500 0.500



Y2HoGa3Pt4: relaxed, GGA-PBE.

Calculated values
- ΔE_f: -94.3 kJ/mol of atoms

Unit cell a=4.161 b=4.161 c=11.562 alpha=90.00 beta=90.00 gamma=90.00
Element x y z (fractional)
Pt 0.500 0.000 0.659
Pt 0.000 0.500 0.341
Pt 0.500 0.500 0.000
Pt 0.000 0.000 0.000
Y 0.000 0.500 0.773
Y 0.500 0.000 0.227
Ga 0.500 0.000 0.873
Ga 0.000 0.500 0.127
Ga 0.000 0.000 0.500
Ho 0.500 0.500 0.500



The highest ΔE_f belongs to which entry?
YHoGaPt



The highest ΔE_f belongs to which entry?
YHoGaPt



The highest ΔE_f belongs to which entry?
YHoGaPt